Below is a relaxed MoWO6 crystal, with properties calculated at the GGA+U level.

```
data_MoWO6
_cell_length_a 4.870
_cell_length_b 9.873
_cell_length_c 4.869
_cell_angle_alpha 90.00
_cell_angle_beta 104.57
_cell_angle_gamma 90.00
_space_group_name_H-M_alt 'P 1'
_space_group_IT_number 1
loop_
_space_group_symop_operation_xyz
'x,y,z'
loop_
_atom_site_label
_atom_site_type_symbol
_atom_site_fract_x
_atom_site_fract_y
_atom_site_fract_z
Mo1 Mo 0.000 0.000 0.000
Mo2 Mo 0.500 0.500 0.000
W1 W 0.000 0.500 0.500
W2 W 0.500 0.000 0.500
O1 O 0.249 0.000 0.751
O2 O 0.250 0.129 0.250
O3 O 0.250 0.371 0.750
O4 O 0.250 0.629 0.750
O5 O 0.250 0.871 0.250
O6 O 0.251 0.500 0.249
O7 O 0.749 0.500 0.751
O8 O 0.750 0.129 0.750
O9 O 0.750 0.371 0.250
O10 O 0.750 0.629 0.250
O11 O 0.750 0.871 0.750
O12 O 0.751 0.000 0.249
```

Values from the calculation:
As for the space-group type: C2/m. The total energy comes out at -113.140 eV per cell. For the mass density, the calculation gives 5.51 g cm⁻³. The value obtained for the total magnetization is 0.0 μB per formula unit.